PBE LiTlTe2, relaxed; D(E_F) = 0.767 states/eV per atom; symmetry = R-3m, No. 166
1.0
-4.205 5.597 1.160
-2.744 4.121 5.084
-0.112 6.627 2.535
Tl Te Li
1 2 1
direct
0.000 0.000 0.000
0.236 0.236 0.236
0.764 0.764 0.764
0.500 0.500 0.500

PBE LiTl2Te, relaxed; excess energy over the best structure of this formula in the dataset = 0 meV per atom; D(E_F) = 0.334 states/eV per atom; symmetry = Immm, No. 71
1.0
7.173 0.338 -0.357
5.696 4.372 -0.357
1.387 0.508 3.907
Li Te Tl
1 1 2
direct
0.750 0.750 0.750
0.250 0.250 0.250
0.054 0.054 0.946
0.446 0.446 0.554

PBE LiTl3Te2, relaxed; D(E_F) = 0.107 states/eV per atom; symmetry = Ibam, No. 72
1.0
7.663 0.000 0.000
0.000 7.111 0.000
-3.831 -3.555 7.340
Te Tl Li
4 6 2
direct
0.690 0.882 0.764
0.310 0.118 0.236
0.074 0.382 0.764
0.926 0.618 0.236
0.500 0.250 0.000
0.396 0.663 0.327
0.070 0.837 0.673
0.500 0.750 0.000
0.930 0.163 0.327
0.604 0.337 0.673
0.000 0.250 0.000
0.000 0.750 0.000

PBE LiTlTe2, relaxed; D(E_F) = 0.636 states/eV per atom; symmetry = R3m, No. 160
1.0
4.529 0.000 0.000
2.264 3.922 0.000
2.264 1.307 6.501
Tl Te Li
1 2 1
direct
0.499 0.499 0.502
0.268 0.268 0.196
0.066 0.066 0.801
0.666 0.666 0.001

PBE LiTlTe2, relaxed; D(E_F) = 0.451 states/eV per atom; symmetry = P4/mmm, No. 123
1.0
-0.536 -3.248 0.986
3.179 -0.831 -1.008
3.258 2.066 8.576
Te Li Tl
2 1 1
direct
0.000 0.000 0.537
0.000 0.000 0.963
0.500 0.500 0.750
0.500 0.500 0.250

PBE LiTlTe2, relaxed; D(E_F) = 0.699 states/eV per atom; symmetry = R3m, No. 160
1.0
-6.118 6.778 5.945
-8.543 4.150 5.340
-6.198 3.855 8.090
Te Li Tl
2 1 1
direct
0.768 0.768 0.768
0.975 0.975 0.975
0.250 0.250 0.250
0.506 0.506 0.506

PBE LiTlTe2, relaxed; D(E_F) = 0.423 states/eV per atom; symmetry = P4mm, No. 99
1.0
4.113 0.000 0.000
0.000 4.113 0.000
0.000 0.000 7.137
Te Li Tl
2 1 1
direct
0.000 0.000 0.854
0.500 0.500 0.298
0.500 0.500 0.898
0.000 0.000 0.449

PBE Li4TlTe, relaxed; D(E_F) = 0.527 states/eV per atom; symmetry = F-43m, No. 216
1.0
3.853 -2.416 -3.330
3.807 -3.529 2.196
-0.299 -5.517 -1.113
Te Li Tl
1 4 1
direct
0.750 0.750 0.750
0.374 0.374 0.374
0.877 0.374 0.374
0.374 0.374 0.877
0.374 0.877 0.374
0.000 0.000 0.000

PBE LiTlTe2, relaxed; D(E_F) = 0.409 states/eV per atom; symmetry = C2/m, No. 12
1.0
-2.641 -3.749 0.994
1.010 -4.566 0.379
1.120 -0.403 7.180
Tl Te Li
1 2 1
direct
0.250 0.250 0.250
0.484 0.484 0.569
0.016 0.016 0.931
0.750 0.750 0.750

PBE LiTl2Te, relaxed; excess energy over the best structure of this formula in the dataset = 37 meV per atom; D(E_F) = 0.587 states/eV per atom; symmetry = P4mm, No. 99
1.0
-2.451 -2.090 2.385
2.675 0.258 2.976
-3.080 6.161 2.235
Tl Li Te
2 1 1
direct
0.000 0.000 0.975
0.500 0.500 0.259
0.000 0.000 0.573
0.500 0.500 0.694

PBE LiTlTe, relaxed; excess energy over the best structure of this formula in the dataset = 225 meV per atom; D(E_F) = 0.184 states/eV per atom; symmetry = I4mm, No. 107
1.0
-4.787 -2.649 -2.825
-1.326 -4.426 -4.073
-1.028 -3.414 1.994
Li Te Tl
1 1 1
direct
0.944 0.944 0.056
0.370 0.370 0.630
0.686 0.686 0.314

PBE LiTlTe2, relaxed; D(E_F) = 0.050 states/eV per atom; symmetry = C2/c, No. 15
1.0
5.620 0.191 -1.995
2.732 6.149 -0.969
-0.509 -0.095 7.482
Te Tl Li
4 2 2
direct
0.889 0.678 0.748
0.640 0.178 0.252
0.360 0.822 0.748
0.111 0.322 0.252
0.655 0.250 0.810
0.345 0.750 0.190
0.039 0.250 0.577
0.961 0.750 0.423

Table of uncorrected formation energy (eV per formula unit), in record order: -1.37; -1.38; -2.62; -1.28; -1.41; -0.56; -1.42; -1.17; -1.39; -1.23; -1.30; -1.77